3
Lattice="4.083 0.000 0.000 -2.042 3.536 0.000 0.000 0.000 3.939" Properties=species:S:1:pos:R:3 comment="LiGaSi (PBE, relaxed)" dos_ef_per_ev_cell=0.677 m_tot_mub_per_atom=0.000 e_tot_ev_per_atom=-3.51 crystal_system=hexagonal space_group=P-6m2 pbc="T T T"
Li 0.000 0.000 0.000
Ga 0.000 2.358 1.970
Si 2.042 1.179 1.970